Record 1
Crystalline SrLi at its relaxed geometry. Source: Alexandria via LeMat-Bulk, functional PBE.

Cell: 7.745 7.745 7.745 Å, 98.76 98.76 134.07°
Positions (direct):
Sr1 0.000 0.290 0.290
Sr2 0.000 0.710 0.710
Sr3 0.290 0.000 0.290
Sr4 0.710 0.000 0.710
Li1 0.354 0.354 0.709
Li2 0.354 0.646 0.000
Li3 0.646 0.354 0.000
Li4 0.646 0.646 0.291

- E_tot (eV per cell) = -13.87
- space group = I4/mmm (139)

=====

Record 2
Crystalline DyPaS6 at its relaxed geometry. Source: Alexandria via LeMat-Bulk, functional PBE.

Cell: 7.473 7.473 7.473 Å, 60.00 60.00 60.00°
Positions (direct):
Dy1 0.000 0.000 0.000
Pa1 0.500 0.500 0.500
S1 0.255 0.255 0.745
S2 0.255 0.745 0.255
S3 0.255 0.745 0.745
S4 0.745 0.255 0.255
S5 0.745 0.255 0.745
S6 0.745 0.745 0.255

- raw formation energy (eV/atom) = -0.685
- space group = Fm-3m (225)

=====

Record 3
Crystalline PmNd3Hg7 at its relaxed geometry. Source: Alexandria via LeMat-Bulk, functional PBE.

Cell: 10.968 10.968 15.868 Å, 90.00 90.00 161.10°
Positions (direct):
Pm1 0.015 0.985 0.750
Pm2 0.985 0.015 0.250
Nd1 0.117 0.883 0.016
Nd2 0.117 0.883 0.484
Nd3 0.235 0.765 0.750
Nd4 0.765 0.235 0.250
Nd5 0.883 0.117 0.516
Nd6 0.883 0.117 0.984
Hg1 0.254 0.746 0.079
Hg2 0.254 0.746 0.421
Hg3 0.377 0.623 0.157
Hg4 0.377 0.623 0.343
Hg5 0.384 0.616 0.750
Hg6 0.495 0.505 0.590
Hg7 0.495 0.505 0.910
Hg8 0.505 0.495 0.090
Hg9 0.505 0.495 0.410
Hg10 0.616 0.384 0.250
Hg11 0.623 0.377 0.657
Hg12 0.623 0.377 0.843
Hg13 0.746 0.254 0.579
Hg14 0.746 0.254 0.921

- E_tot (eV per cell) = -49.54
- space group = Cmcm (63)

=====

Record 4
Crystalline Zr2NiMo at its relaxed geometry. Source: Alexandria via LeMat-Bulk, functional PBE.

Cell: 3.366 3.366 6.285 Å, 90.00 90.00 90.00°
Positions (direct):
Zr1 0.000 0.000 0.000
Zr2 0.500 0.500 0.309
Ni1 0.500 0.500 0.770
Mo1 0.000 0.000 0.550

- E_tot (eV per cell) = -33.38
- space group = P4mm (99)

=====

Record 5
Crystalline KNaAg2 at its relaxed geometry. Source: Alexandria via LeMat-Bulk, functional PBE.

Cell: 3.831 3.831 7.758 Å, 90.00 90.00 90.00°
Positions (direct):
K1 0.000 0.000 0.000
Na1 0.000 0.000 0.500
Ag1 0.500 0.500 0.308
Ag2 0.500 0.500 0.692

- E_tot (eV per cell) = -7.83
- space group = P4/mmm (123)

=====

Record 6
Crystalline LuMgTiIn at its relaxed geometry. Source: Alexandria via LeMat-Bulk, functional PBE.

Cell: 4.981 4.981 4.981 Å, 60.00 60.00 60.00°
Positions (direct):
Lu1 0.000 0.000 0.000
Mg1 0.250 0.250 0.250
Ti1 0.500 0.500 0.500
In1 0.750 0.750 0.750

- E_tot (eV per cell) = -16.96
- space group = F-43m (216)

=====

Record 7
Crystalline Mg2B at its relaxed geometry. Source: Alexandria via LeMat-Bulk, functional PBE.

Cell: 3.136 3.136 11.443 Å, 98.66 98.66 60.24°
Positions (direct):
Mg1 0.000 0.000 0.000
Mg2 0.258 0.258 0.767
Mg3 0.408 0.408 0.236
Mg4 0.514 0.514 0.531
B1 0.128 0.128 0.384
B2 0.793 0.793 0.384

- E_tot (eV per cell) = -20.00
- space group = Cm (8)

=====

Record 8
Crystalline TlNiPb4 at its relaxed geometry. Source: Alexandria via LeMat-Bulk, functional PBE.

Cell: 6.431 6.431 6.431 Å, 60.00 60.00 60.00°
Positions (direct):
Tl1 0.000 0.000 0.000
Ni1 0.750 0.750 0.750
Pb1 0.376 0.376 0.376
Pb2 0.376 0.376 0.873
Pb3 0.376 0.873 0.376
Pb4 0.873 0.376 0.376

- E_tot (eV per cell) = -19.77
- space group = F-43m (216)

=====

Sequential DOS(E_F) output: 8.0, 7.2, 18.7, 7.3, 1.2, 3.8, 2.5, 6.7 states/eV/cell